A relaxed ZnCu6Ni5 crystal. Source: Alexandria via LeMat-Bulk, functional GGA-PBE.

It has space group Cmmm (No. 65), with a = 3.588 Å, b = 10.717 Å, c = 7.202 Å, α = 90.00°, β = 90.00° and γ = 90.00°. The distinct sites, in fractional coordinates, are Zn at (0.000, 0.000, 0.000), Cu at (0.000, 0.168, 0.253), Cu at (0.000, 0.500, 0.255), Ni at (0.000, 0.000, 0.500), Ni at (0.000, 0.332, 0.000) and Ni at (0.000, 0.333, 0.500).

The formation energy is -10 meV per atom. As for the total energy: -54.88 eV per formula unit. For the energy above the most stable polymorph in this dataset, the calculation gives 0 meV per atom.

A relaxed ErZnAg crystal. Source: Alexandria via LeMat-Bulk, functional GGA-PBE.

It has space group I4mm (No. 107), with a = 3.603 Å, b = 3.603 Å, c = 9.499 Å, α = 90.00°, β = 90.00° and γ = 90.00°. The distinct sites, in fractional coordinates, are Er at (0.000, 0.000, 0.000), Zn at (0.000, 0.000, 0.674) and Ag at (0.000, 0.000, 0.316).

The formation energy is -244 meV per atom. As for the total energy: -9.42 eV per formula unit.

A relaxed ScPa2Ir crystal. Source: Alexandria via LeMat-Bulk, functional GGA-PBE.

It has space group R-3m (No. 166, hexagonal axes), with a = 3.0797 Å, b = 3.0797 Å, c = 32.1116 Å, α = 90.00°, β = 90.00° and γ = 120.00°. The distinct sites, in fractional coordinates, are Sc at (0.0000, 0.0000, 0.0000), Pa at (0.0000, 0.0000, 0.0924) and Ir at (0.0000, 0.0000, 0.5000).

The formation energy is 30 meV per atom. As for the total energy: -34.07 eV per formula unit.

| no. | V (A^3/atom) |
| --- | --- |
| 1 | 11.54 |
| 2 | 20.55 |
| 3 | 21.98 |